[1]
Material: ZrIn3Fe
Method: DFT, PBE-GGA
State: relaxed

Output
The total energy is -3.854 eV per atom. The formation enthalpy at 0 K is 1191 meV/atom. The calculated volume comes out at 171 Å³/f.u. For the excess energy over the best structure of this formula in the dataset, the calculation gives 739.5 meV/atom. Its density of states at the Fermi level is 11.2 states/eV/cell.

Cell lengths 5.5455, 5.5455, 5.5455 Å; angles 90.00, 90.00, 90.00 degrees
Fractional positions:
Zr: 0.0000 0.0000 0.0000
In: 0.0000 0.0000 0.5000
In: 0.0000 0.5000 0.0000
In: 0.5000 0.0000 0.0000
Fe: 0.5000 0.5000 0.5000

[2]
Material: ZrInFe
Method: DFT, PBE-GGA
State: relaxed

Output
The total energy is -6.645 eV per atom. The formation enthalpy at 0 K is -62 meV/atom. The calculated volume comes out at 55 Å³/f.u. Its density of states at the Fermi level is 2.0 states/eV/cell.

Cell lengths 5.7336, 5.7336, 5.7336 Å; angles 147.08, 147.08, 47.25 degrees
Fractional positions:
Zr: 0.0000 0.0000 0.0000
In: 0.2912 0.2912 0.0000
Fe: 0.6354 0.6354 0.0000

[3]
Material: ZrInFe
Method: DFT, PBE-GGA
State: relaxed

Output
The total energy is -6.546 eV per atom. The formation enthalpy at 0 K is 37 meV/atom. The calculated volume comes out at 56 Å³/f.u. Its density of states at the Fermi level is 3.0 states/eV/cell.

Cell lengths 4.6175, 4.6175, 3.0366 Å; angles 90.00, 90.00, 120.00 degrees
Fractional positions:
Zr: 0.0000 0.0000 0.0000
In: 0.3333 0.6667 0.5163
Fe: 0.6667 0.3333 0.3370

[4]
Material: ZrInFe3
Method: DFT, PBE-GGA
State: relaxed

Output
The total energy is -6.046 eV per atom. The formation enthalpy at 0 K is 1289 meV/atom. The calculated volume comes out at 104 Å³/f.u. For the excess energy over the best structure of this formula in the dataset, the calculation gives 0.0 meV/atom. Its density of states at the Fermi level is 9.6 states/eV/cell.

Cell lengths 4.6988, 4.6988, 4.6988 Å; angles 90.00, 90.00, 90.00 degrees
Fractional positions:
Zr: 0.0000 0.0000 0.0000
In: 0.5000 0.5000 0.5000
Fe: 0.0000 0.5000 0.5000
Fe: 0.5000 0.0000 0.5000
Fe: 0.5000 0.5000 0.0000

[5]
Material: Zr6In3Fe
Method: DFT, PBE-GGA
State: relaxed

Output
The total energy is -6.785 eV per atom. The formation enthalpy at 0 K is 12 meV/atom. The calculated volume comes out at 230 Å³/f.u. Its density of states at the Fermi level is 10.7 states/eV/cell.

Cell lengths 6.1017, 6.1017, 7.1581 Å; angles 101.57, 101.57, 62.57 degrees
Fractional positions:
Zr: 0.1285 0.6370 0.6478
Zr: 0.3469 0.3469 0.1484
Zr: 0.3630 0.8715 0.3522
Zr: 0.6370 0.1285 0.6478
Zr: 0.6531 0.6531 0.8516
Zr: 0.8715 0.3630 0.3522
In: 0.0000 0.0000 0.0000
In: 0.1622 0.1622 0.7348
In: 0.8378 0.8378 0.2652
Fe: 0.5000 0.5000 0.5000

[6]
Material: Zr4InFe
Method: DFT, PBE-GGA
State: relaxed

Output
The total energy is -7.485 eV per atom. The formation enthalpy at 0 K is 80 meV/atom. The calculated volume comes out at 133 Å³/f.u. For the excess energy over the best structure of this formula in the dataset, the calculation gives 0.0 meV/atom. Its density of states at the Fermi level is 6.8 states/eV/cell.

Cell lengths 5.5124, 5.5124, 8.3188 Å; angles 110.97, 110.97, 34.50 degrees
Fractional positions:
Zr: 0.1264 0.1264 0.3908
Zr: 0.3315 0.3315 0.1813
Zr: 0.6685 0.6685 0.8187
Zr: 0.8736 0.8736 0.6092
In: 0.0000 0.0000 0.0000
Fe: 0.5000 0.5000 0.5000

[7]
Material: Zr3InFe8
Method: DFT, PBE-GGA
State: relaxed

Output
The total energy is -8.240 eV per atom. The formation enthalpy at 0 K is -233 meV/atom. The calculated volume comes out at 173 Å³/f.u. Its density of states at the Fermi level is 8.2 states/eV/cell.

Cell lengths 8.6044, 8.6044, 8.6044 Å; angles 33.50, 33.50, 33.50 degrees
Fractional positions:
Zr: 0.0000 0.0000 0.0000
Zr: 0.1262 0.1262 0.1262
Zr: 0.5037 0.5037 0.5037
In: 0.6275 0.6275 0.6275
Fe: 0.0642 0.0642 0.5627
Fe: 0.0642 0.5627 0.0642
Fe: 0.0645 0.5643 0.5643
Fe: 0.3142 0.3142 0.3142
Fe: 0.5627 0.0642 0.0642
Fe: 0.5643 0.0645 0.5643
Fe: 0.5643 0.5643 0.0645
Fe: 0.8139 0.8139 0.8139

[8]
Material: ZrInFe
Method: DFT, PBE-GGA
State: relaxed

Output
The total energy is -6.746 eV per atom. The formation enthalpy at 0 K is -162 meV/atom. The calculated volume comes out at 58 Å³/f.u. Its density of states at the Fermi level is 4.8 states/eV/cell.

Cell lengths 3.4961, 4.0420, 8.3719 Å; angles 90.00, 102.05, 90.00 degrees
Fractional positions:
Zr: 0.0863 0.2500 0.1722
Zr: 0.9137 0.7500 0.8278
In: 0.2962 0.2500 0.5926
In: 0.7038 0.7500 0.4074
Fe: 0.4598 0.2500 0.9202
Fe: 0.5402 0.7500 0.0798

[9]
Material: ZrInFe
Method: DFT, PBE-GGA
State: relaxed

Output
The total energy is -6.429 eV per atom. The formation enthalpy at 0 K is 154 meV/atom. The calculated volume comes out at 61 Å³/f.u. Its density of states at the Fermi level is 4.9 states/eV/cell.

Cell lengths 4.4299, 4.4299, 4.4299 Å; angles 60.00, 60.00, 60.00 degrees
Fractional positions:
Zr: 0.0000 0.0000 0.0000
In: 0.5000 0.5000 0.5000
Fe: 0.2500 0.2500 0.2500

[10]
Material: Zr4InFe
Method: DFT, PBE-GGA
State: relaxed

Output
The total energy is -7.137 eV per atom. The formation enthalpy at 0 K is 428 meV/atom. The calculated volume comes out at 132 Å³/f.u. For the excess energy over the best structure of this formula in the dataset, the calculation gives 348.0 meV/atom. Its density of states at the Fermi level is 7.2 states/eV/cell.

Cell lengths 5.7113, 5.7113, 5.7113 Å; angles 60.00, 60.00, 60.00 degrees
Fractional positions:
Zr: 0.1244 0.1244 0.1244
Zr: 0.1244 0.1244 0.6268
Zr: 0.1244 0.6268 0.1244
Zr: 0.6268 0.1244 0.1244
In: 0.5000 0.5000 0.5000
Fe: 0.7500 0.7500 0.7500

[11]
Material: ZrInFe
Method: DFT, PBE-GGA
State: relaxed

Output
The total energy is -5.854 eV per atom. The formation enthalpy at 0 K is 729 meV/atom. The calculated volume comes out at 69 Å³/f.u. Its density of states at the Fermi level is 5.8 states/eV/cell.

Cell lengths 4.6130, 4.6130, 4.6130 Å; angles 60.00, 60.00, 60.00 degrees
Fractional positions:
Zr: 0.0000 0.0000 0.0000
In: 0.7500 0.7500 0.7500
Fe: 0.2500 0.2500 0.2500

[12]
Material: ZrInFe
Method: DFT, PBE-GGA
State: relaxed

Output
The total energy is -6.700 eV per atom. The formation enthalpy at 0 K is -117 meV/atom. The calculated volume comes out at 56 Å³/f.u. Its density of states at the Fermi level is 5.0 states/eV/cell.

Cell lengths 6.7379, 6.7379, 6.7379 Å; angles 39.45, 39.45, 39.45 degrees
Fractional positions:
Zr: 0.0000 0.0000 0.0000
Zr: 0.1720 0.1720 0.1720
In: 0.4154 0.4154 0.4154
In: 0.5863 0.5863 0.5863
Fe: 0.7329 0.7329 0.7329
Fe: 0.8492 0.8492 0.8492

[13]
Material: ZrInFe
Method: DFT, PBE-GGA
State: relaxed

Output
The total energy is -6.406 eV per atom. The formation enthalpy at 0 K is 177 meV/atom. The calculated volume comes out at 59 Å³/f.u. Its density of states at the Fermi level is 3.1 states/eV/cell.

Cell lengths 3.2481, 3.2481, 6.4874 Å; angles 90.00, 90.00, 120.00 degrees
Fractional positions:
Zr: 0.0000 0.0000 0.0000
In: 0.3333 0.6667 0.6001
Fe: 0.6667 0.3333 0.2823

[14]
Material: ZrInFe3
Method: DFT, PBE-GGA
State: relaxed

Output
The total energy is -6.003 eV per atom. The formation enthalpy at 0 K is 1332 meV/atom. The calculated volume comes out at 100 Å³/f.u. For the excess energy over the best structure of this formula in the dataset, the calculation gives 43.0 meV/atom. Its density of states at the Fermi level is 4.9 states/eV/cell.

Cell lengths 4.6445, 4.6445, 4.6445 Å; angles 90.00, 90.00, 90.00 degrees
Fractional positions:
Zr: 0.0000 0.0000 0.0000
In: 0.5000 0.5000 0.5000
Fe: 0.0000 0.0000 0.5000
Fe: 0.0000 0.5000 0.0000
Fe: 0.5000 0.0000 0.0000

[15]
Material: Zr6InFe
Method: DFT, PBE-GGA
State: relaxed

Output
The total energy is -7.890 eV per atom. The formation enthalpy at 0 K is -79 meV/atom. The calculated volume comes out at 170 Å³/f.u. Its density of states at the Fermi level is 6.1 states/eV/cell.

Cell lengths 5.7063, 5.7063, 5.7948 Å; angles 95.42, 95.42, 114.05 degrees
Fractional positions:
Zr: 0.0839 0.6578 0.7444
Zr: 0.2452 0.2452 0.9110
Zr: 0.3422 0.9161 0.2556
Zr: 0.6578 0.0839 0.7444
Zr: 0.7548 0.7548 0.0890
Zr: 0.9161 0.3422 0.2556
In: 0.5000 0.5000 0.5000
Fe: 0.0000 0.0000 0.5000

[16]
Material: ZrIn2Fe9
Method: DFT, PBE-GGA
State: relaxed

Output
The total energy is -7.489 eV per atom. The formation enthalpy at 0 K is 26 meV/atom. The calculated volume comes out at 168 Å³/f.u. Its density of states at the Fermi level is 12.1 states/eV/cell.

Cell lengths 8.4412, 8.4412, 8.4412 Å; angles 34.07, 34.07, 34.07 degrees
Fractional positions:
Zr: 0.0000 0.0000 0.0000
In: 0.1397 0.1397 0.1397
In: 0.8603 0.8603 0.8603
Fe: 0.0796 0.5856 0.5856
Fe: 0.3342 0.3342 0.3342
Fe: 0.4144 0.4144 0.9204
Fe: 0.4144 0.9204 0.4144
Fe: 0.5000 0.5000 0.5000
Fe: 0.5856 0.0796 0.5856
Fe: 0.5856 0.5856 0.0796
Fe: 0.6658 0.6658 0.6658
Fe: 0.9204 0.4144 0.4144

[17]
Material: ZrIn3Fe
Method: DFT, PBE-GGA
State: relaxed

Output
The total energy is -4.594 eV per atom. The formation enthalpy at 0 K is 451 meV/atom. The calculated volume comes out at 114 Å³/f.u. For the excess energy over the best structure of this formula in the dataset, the calculation gives 0.0 meV/atom. Its density of states at the Fermi level is 8.6 states/eV/cell.

Cell lengths 4.8515, 4.8515, 4.8515 Å; angles 90.00, 90.00, 90.00 degrees
Fractional positions:
Zr: 0.0000 0.0000 0.0000
In: 0.0000 0.5000 0.5000
In: 0.5000 0.0000 0.5000
In: 0.5000 0.5000 0.0000
Fe: 0.5000 0.5000 0.5000

[18]
Material: FeIr4
Method: DFT, PBE-GGA
State: relaxed

Output
The total energy is -8.290 eV per atom. The formation enthalpy at 0 K is 492 meV/atom. The calculated volume comes out at 82 Å³/f.u. For the excess energy over the best structure of this formula in the dataset, the calculation gives 532.5 meV/atom. Its density of states at the Fermi level is 5.0 states/eV/cell.

Cell lengths 6.7599, 6.7599, 6.7599 Å; angles 149.03, 149.03, 44.36 degrees
Fractional positions:
Fe: 0.0000 0.0000 0.0000
Ir: 0.2500 0.7500 0.5000
Ir: 0.4025 0.4025 0.0000
Ir: 0.5975 0.5975 0.0000
Ir: 0.7500 0.2500 0.5000

[19]
Material: Fe2Ir3
Method: DFT, PBE-GGA
State: relaxed

Output
The total energy is -8.610 eV per atom. The formation enthalpy at 0 K is 91 meV/atom. The calculated volume comes out at 69 Å³/f.u. For the excess energy over the best structure of this formula in the dataset, the calculation gives 94.8 meV/atom. Its density of states at the Fermi level is 24.4 states/eV/cell.

Cell lengths 5.2383, 4.1512, 12.6468 Å; angles 90.00, 90.00, 90.00 degrees
Fractional positions:
Fe: 0.0130 0.2500 0.1432
Fe: 0.2168 0.7500 0.4584
Fe: 0.2832 0.2500 0.9584
Fe: 0.4870 0.7500 0.6432
Fe: 0.5130 0.2500 0.3568
Fe: 0.7168 0.7500 0.0416
Fe: 0.7832 0.2500 0.5416
Fe: 0.9870 0.7500 0.8568
Ir: 0.0197 0.2500 0.3565
Ir: 0.1875 0.2500 0.7678
Ir: 0.2206 0.7500 0.0609
Ir: 0.2794 0.2500 0.5609
Ir: 0.3125 0.7500 0.2678
Ir: 0.4803 0.7500 0.8565
Ir: 0.5197 0.2500 0.1435
Ir: 0.6875 0.2500 0.7322
Ir: 0.7206 0.7500 0.4391
Ir: 0.7794 0.2500 0.9391
Ir: 0.8125 0.7500 0.2322
Ir: 0.9803 0.7500 0.6435

[20]
Material: FeIr
Method: DFT, PBE-GGA
State: relaxed

Output
The total energy is -8.099 eV per atom. The formation enthalpy at 0 K is 563 meV/atom. The calculated volume comes out at 29 Å³/f.u. Its density of states at the Fermi level is 5.1 states/eV/cell.

Cell lengths 3.8376, 3.8376, 4.5994 Å; angles 90.00, 90.00, 120.00 degrees
Fractional positions:
Fe: 0.0000 0.0000 0.0000
Fe: 0.0000 0.0000 0.5000
Ir: 0.3333 0.6667 0.2500
Ir: 0.6667 0.3333 0.7500

[21]
Material: FeIr
Method: DFT, PBE-GGA
State: relaxed

Output
The total energy is -8.693 eV per atom. The formation enthalpy at 0 K is -31 meV/atom. The calculated volume comes out at 26 Å³/f.u. Its density of states at the Fermi level is 4.9 states/eV/cell.

Cell lengths 5.0336, 5.0336, 4.5461 Å; angles 116.63, 116.63, 31.07 degrees
Fractional positions:
Fe: 0.1277 0.1277 0.4607
Fe: 0.8723 0.8723 0.5393
Ir: 0.3772 0.3772 0.0506
Ir: 0.6228 0.6228 0.9494

[22]
Material: Fe4Ir5
Method: DFT, PBE-GGA
State: relaxed

Output
The total energy is -8.583 eV per atom. The formation enthalpy at 0 K is 100 meV/atom. The calculated volume comes out at 122 Å³/f.u. For the excess energy over the best structure of this formula in the dataset, the calculation gives 94.4 meV/atom. Its density of states at the Fermi level is 25.7 states/eV/cell.

Cell lengths 7.3410, 7.3410, 5.2407 Å; angles 90.00, 90.00, 120.00 degrees
Fractional positions:
Fe: 0.0000 0.0000 0.0000
Fe: 0.0000 0.0000 0.5000
Fe: 0.0000 0.3325 0.2500
Fe: 0.0000 0.6675 0.7500
Fe: 0.3325 0.0000 0.2500
Fe: 0.3325 0.3325 0.7500
Fe: 0.6675 0.0000 0.7500
Fe: 0.6675 0.6675 0.2500
Ir: 0.0000 0.3289 0.7500
Ir: 0.0000 0.6711 0.2500
Ir: 0.3289 0.0000 0.7500
Ir: 0.3289 0.3289 0.2500
Ir: 0.3333 0.6667 0.0000
Ir: 0.3333 0.6667 0.5000
Ir: 0.6667 0.3333 0.0000
Ir: 0.6667 0.3333 0.5000
Ir: 0.6711 0.0000 0.2500
Ir: 0.6711 0.6711 0.7500

[23]
Material: Fe3Ir4
Method: DFT, PBE-GGA
State: relaxed

Output
The total energy is -8.695 eV per atom. The formation enthalpy at 0 K is -5 meV/atom. The calculated volume comes out at 94 Å³/f.u. For the excess energy over the best structure of this formula in the dataset, the calculation gives 0.0 meV/atom. Its density of states at the Fermi level is 7.5 states/eV/cell.

Cell lengths 12.8380, 12.8380, 12.8380 Å; angles 167.84, 167.84, 17.23 degrees
Fractional positions:
Fe: 0.0000 0.0000 0.0000
Fe: 0.2826 0.2826 0.0000
Fe: 0.7174 0.7174 0.0000
Ir: 0.1478 0.1478 0.0000
Ir: 0.4293 0.4293 0.0000
Ir: 0.5707 0.5707 0.0000
Ir: 0.8522 0.8522 0.0000

[24]
Material: FeIr
Method: DFT, PBE-GGA
State: relaxed

Output
The total energy is -7.743 eV per atom. The formation enthalpy at 0 K is 919 meV/atom. The calculated volume comes out at 37 Å³/f.u. Its density of states at the Fermi level is 9.4 states/eV/cell.

Cell lengths 7.7162, 7.7162, 7.7162 Å; angles 91.60, 91.60, 160.77 degrees
Fractional positions:
Fe: 0.1063 0.2641 0.3704
Fe: 0.2641 0.8937 0.1578
Fe: 0.7359 0.1063 0.8422
Fe: 0.8937 0.7359 0.6296
Ir: 0.1101 0.7491 0.8593
Ir: 0.2509 0.1101 0.3610
Ir: 0.7491 0.8899 0.6390
Ir: 0.8899 0.2509 0.1407

[25]
Material: FeIr3
Method: DFT, PBE-GGA
State: relaxed

Output
The total energy is -8.779 eV per atom. The formation enthalpy at 0 K is -18 meV/atom. The calculated volume comes out at 56 Å³/f.u. Its density of states at the Fermi level is 5.8 states/eV/cell.

Cell lengths 4.6744, 4.6744, 2.7257 Å; angles 90.00, 90.00, 109.08 degrees
Fractional positions:
Fe: 0.0000 0.0000 0.0000
Ir: 0.0000 0.5000 0.5000
Ir: 0.5000 0.0000 0.5000
Ir: 0.5000 0.5000 0.0000